Material: In2TcSe
Method: DFT, meta-GGA SCAN
State: PBEsol geometry

a b c (Å): 6.702 6.702 6.702
angles (deg): 90.00 90.00 90.00
Space group F-43m (No. 216)
Asymmetric unit:
In: 0.000 0.000 0.000 [4 per cell]
In: 0.250 0.250 0.250 [4 per cell]
Tc: 0.000 0.000 0.500 [4 per cell]
Se: 0.250 0.250 0.750 [4 per cell]

Output
Its total energy is -119.46 eV/f.u. The density of states at the Fermi level comes out at 13.90 states/eV/cell. The value obtained for the raw formation energy is 613 meV per atom.